[1]
## Ho2Mg3Au4 (PBE-GGA)

Data for crystalline Ho2Mg3Au4 at its relaxed geometry.

abc: 6.0117 7.8211 8.6546
angles: 90.00 110.32 90.00
Sites, in units of the cell vectors:
Ho  0.1018  0.5959  0.2036
Ho  0.8982  0.4041  0.7964
Ho  0.3982  0.0959  0.7964
Ho  0.6018  0.9041  0.2036
Mg  0.0000  0.0000  0.0000
Mg  0.5000  0.5000  0.0000
Mg  0.5254  0.7500  0.5508
Mg  0.9746  0.2500  0.4492
Mg  0.4746  0.2500  0.4492
Mg  0.0254  0.7500  0.5508
Au  0.6949  0.7500  0.8898
Au  0.8051  0.2500  0.1102
Au  0.3051  0.2500  0.1102
Au  0.1949  0.7500  0.8898
Au  0.1735  0.9569  0.3470
Au  0.8265  0.0431  0.6530
Au  0.3265  0.4569  0.6530
Au  0.6735  0.5431  0.3470

Summary:
Size of the total moment: 0.00 μB per atom
Energy relative to the elements: -641 meV/atom
Calculated total energy: -3.65 eV/atom
SG: Cmce, No. 64
Energy relative to the lowest polymorph listed for this composition: 25.5 meV/atom

[2]
## SrCd2Os (PBE-GGA)

Data for crystalline SrCd2Os at its relaxed geometry.

abc: 5.3378 5.3378 5.3378
angles: 129.61 129.61 74.03
Sites, in units of the cell vectors:
Cd  0.0000  0.0000  0.0000
Cd  0.5000  0.5000  0.0000
Os  0.2500  0.7500  0.5000
Sr  0.7500  0.2500  0.5000

Summary:
Size of the total moment: 0.00 μB per atom
Energy relative to the elements: 446 meV/atom
Calculated total energy: -3.24 eV/atom
SG: I4/mmm, No. 139

[3]
## PrYSc2 (PBE-GGA)

Data for crystalline PrYSc2 at its relaxed geometry.

abc: 5.5831 6.5958 7.0923
angles: 90.00 90.00 115.04
Sites, in units of the cell vectors:
Pr  0.1543  0.3087  0.7500
Pr  0.8457  0.6913  0.2500
Y  0.8725  0.7449  0.7500
Y  0.1275  0.2551  0.2500
Sc  0.3711  0.7423  0.0088
Sc  0.6289  0.2577  0.9912
Sc  0.6289  0.2577  0.5088
Sc  0.3711  0.7423  0.4912

Summary:
Size of the total moment: 0.00 μB per atom
Energy relative to the elements: 195 meV/atom
Calculated total energy: -5.78 eV/atom
SG: Cmcm, No. 63
Energy relative to the lowest polymorph listed for this composition: 137.0 meV/atom